Density functional theory data (GGA-PBE) for NbCr2Pd after structural relaxation.

Calculated values
- Energy relative to the lowest polymorph listed for this composition: 0 meV/atom
- Space-group type: Fm-3m, No. 225
- Magnetization: 3.30 μB/f.u.
- Volume: 14.63 Å³/atom
- ΔH_f (0 K): 18.5 kJ/mol of atoms

a = 4.357 Å, b = 4.357 Å, c = 4.357 Å
α = 60.00°, β = 60.00°, γ = 60.00°
Fractional coordinates of all 4 atoms:
Nb 0.000 0.000 0.000
Cr 0.250 0.250 0.250
Cr 0.750 0.750 0.750
Pd 0.500 0.500 0.500